Entry from the Alexandria database: an optimized crystal structure of Ta2SbPt (PBE).

The structure in POSCAR format:
```
Ta2SbPt
1.0
2.908 -3.930 0.000
2.908 3.930 0.000
-0.186 0.000 3.199
Ta Sb Pt
2 1 1
Direct
0.000 0.500 0.000
0.500 0.000 0.000
0.000 0.000 0.500
0.500 0.500 0.500
```

Properties
* symmetry: No. 12
* E_form (uncorrected): -0.34 eV/f.u.
* mass density: 15.41 g/cm³
* D(E_F): 0.783 states/eV per atom